[1]
{"formula": "K2RbVF6", "functional": "GGA+U", "state": "optimized geometry", "lattice": [[6.260, 0.000, -0.001], [0.000, 6.563, 0.000], [0.051, 0.000, 8.934]], "species": ["K", "K", "K", "K", "F", "F", "F", "F", "F", "F", "F", "F", "F", "F", "F", "F", "V", "V", "Rb", "Rb"], "frac_coords": [[0.483, 0.448, 0.244], [0.517, 0.552, 0.756], [0.983, 0.052, 0.744], [0.017, 0.948, 0.256], [0.150, 0.252, 0.077], [0.614, 0.062, 0.296], [0.650, 0.248, 0.577], [0.258, 0.664, 0.045], [0.386, 0.938, 0.704], [0.350, 0.752, 0.423], [0.886, 0.562, 0.204], [0.850, 0.748, 0.923], [0.242, 0.164, 0.455], [0.758, 0.836, 0.545], [0.742, 0.336, 0.955], [0.114, 0.438, 0.796], [0.000, 0.500, 0.000], [0.500, 0.000, 0.500], [0.500, 0.000, 0.000], [0.000, 0.500, 0.500]], "crystal_system": "monoclinic"}

---

[2]
{"formula": "KRb2V2F7", "functional": "GGA+U", "state": "optimized geometry", "lattice": [[4.242, -0.006, 0.009], [-0.001, 4.242, 0.009], [2.097, 2.094, 11.238]], "species": ["V", "V", "F", "F", "F", "F", "F", "F", "F", "K", "Rb", "Rb"], "frac_coords": [[0.594, 0.594, 0.811], [0.406, 0.406, 0.189], [0.908, 0.408, 0.185], [0.312, 0.312, 0.378], [0.592, 0.092, 0.815], [0.688, 0.688, 0.622], [0.408, 0.908, 0.185], [0.500, 0.500, 0.000], [0.092, 0.592, 0.815], [0.000, 0.000, 0.000], [0.815, 0.815, 0.370], [0.185, 0.185, 0.630]], "crystal_system": "orthorhombic"}

---

[3]
{"formula": "KRb2VF5", "functional": "GGA+U", "state": "optimized geometry", "lattice": [[4.190, 0.000, 0.000], [0.000, 6.297, 0.000], [-2.095, -3.149, 6.567]], "species": ["F", "F", "F", "F", "F", "Rb", "Rb", "K", "V"], "frac_coords": [[0.384, 0.645, 0.768], [0.000, 0.000, 0.000], [0.616, 0.355, 0.232], [0.616, 0.878, 0.232], [0.384, 0.122, 0.768], [0.786, 0.786, 0.573], [0.214, 0.214, 0.427], [0.000, 0.500, 0.000], [0.500, 0.000, 0.000]], "crystal_system": "orthorhombic"}

---

[4]
{"formula": "K2RbVF6", "functional": "GGA+U", "state": "optimized geometry", "lattice": [[0.000, 4.593, 4.593], [4.593, 0.000, 4.593], [4.593, 4.593, 0.000]], "species": ["F", "F", "F", "F", "F", "F", "K", "K", "V", "Rb"], "frac_coords": [[0.215, 0.215, 0.785], [0.785, 0.215, 0.785], [0.215, 0.785, 0.785], [0.785, 0.785, 0.215], [0.785, 0.215, 0.215], [0.215, 0.785, 0.215], [0.250, 0.250, 0.250], [0.750, 0.750, 0.750], [0.000, 0.000, 0.000], [0.500, 0.500, 0.500]], "crystal_system": "cubic"}

---

no.,volume (Å³/atom),calculated total energy (eV/atom)
1,18.35,-5.0778
2,16.84,-5.3428
3,19.25,-4.9082
4,19.38,-4.9425